Here is a relaxed structure of LaCeSe3 from Alexandria. Energies are from GGA-PBE.

Structure (POSCAR):
```
LaCeSe3
1.0
7.906 0.000 0.000
0.000 4.265 0.000
0.000 0.000 16.358
La Ce Se
4 4 12
Cartesian
1.046 1.066 3.354
2.907 3.199 11.533
4.999 1.066 4.825
6.860 3.199 13.004
1.861 3.199 7.490
2.092 1.066 15.668
5.814 3.199 0.689
6.045 1.066 8.868
0.069 1.066 6.443
0.996 3.199 1.082
1.214 1.066 12.785
2.739 3.199 4.606
2.957 1.066 9.260
3.885 3.199 14.622
4.022 1.066 1.736
4.949 3.199 7.097
5.167 1.066 11.751
6.693 3.199 3.573
6.910 1.066 15.276
7.838 3.199 9.914
```

Final energy   -6.21 eV/atom
Theoretical density   6.2 g/cm³
Size of the total moment   0.9 μB/f.u.
Energy relative to the lowest polymorph listed for this composition   0.000 eV/atom
Space group   Pnma, No. 62
Density of states at the Fermi level   26.28 states/eV per cell
ΔE_f (raw)   -1943 meV/atom

=====

Here is a relaxed structure of TaAu2Se from Alexandria. Energies are from GGA-PBE.

Structure (POSCAR):
```
TaAu2Se
1.0
3.134 0.000 0.000
0.000 3.134 0.000
0.000 0.000 7.818
Ta Au Se
1 2 1
Cartesian
0.000 0.000 0.000
0.000 0.000 3.793
1.567 1.567 1.895
1.567 1.567 6.350
```

Final energy   -5.59 eV/atom
Theoretical density   14.1 g/cm³
Size of the total moment   0.0 μB/f.u.
Space group   P4mm, No. 99
Density of states at the Fermi level   1.32 states/eV per cell
ΔE_f (raw)   -121 meV/atom

=====

Here is a relaxed structure of Ac3DyTe6 from Alexandria. Energies are from GGA-PBE.

Structure (POSCAR):
```
Ac3DyTe6
1.0
7.753 0.000 0.000
0.000 8.646 0.000
-7.249 0.000 11.658
Ac Dy Te
6 2 12
Cartesian
0.000 0.000 0.000
-3.625 4.323 5.829
-3.128 0.961 8.834
0.497 3.362 3.005
0.007 5.284 8.652
3.631 7.685 2.824
0.252 0.000 5.829
3.876 4.323 0.000
-1.070 0.433 3.068
-4.694 3.890 8.897
1.401 5.824 0.908
-2.223 7.145 6.736
2.699 1.616 0.842
-0.926 2.707 6.671
1.429 5.939 4.987
-2.195 7.030 10.815
2.727 1.501 4.921
-0.898 2.822 10.750
5.198 4.756 2.760
1.573 8.213 8.589
```

Final energy   -5.08 eV/atom
Theoretical density   6.8 g/cm³
Size of the total moment   0.0 μB/f.u.
Energy relative to the lowest polymorph listed for this composition   0.000 eV/atom
Space group   P2_1/c, No. 14
Density of states at the Fermi level   0.00 states/eV per cell
ΔE_f (raw)   -1505 meV/atom

=====

Here is a relaxed structure of CuNi3H4 from Alexandria. Energies are from GGA-PBE.

Structure (POSCAR):
```
CuNi3H4
1.0
2.669 -3.726 0.000
2.669 3.726 0.000
0.000 0.000 2.661
Cu Ni H
1 3 4
Cartesian
0.000 0.000 0.000
1.335 1.863 1.331
1.335 -1.863 1.331
2.669 0.000 0.000
2.669 1.758 0.000
1.506 0.000 1.331
3.832 0.000 1.331
2.669 -1.758 0.000
```

Final energy   -4.38 eV/atom
Theoretical density   7.6 g/cm³
Size of the total moment   0.0 μB/f.u.
Space group   Cmmm, No. 65
Density of states at the Fermi level   2.39 states/eV per cell

=====

Here is a relaxed structure of CsKMnI6 from Alexandria. Energies are from GGA-PBE.

Structure (POSCAR):
```
CsKMnI6
1.0
4.238 -7.348 0.000
4.238 7.348 0.000
-0.004 0.000 7.671
Cs K Mn I
1 1 1 6
Cartesian
0.000 0.000 0.000
4.236 -2.447 3.836
4.236 2.450 3.836
2.036 2.498 2.254
3.096 4.330 5.419
3.181 0.521 5.420
5.375 4.330 2.252
5.291 0.521 2.251
6.436 2.498 5.417
```

Final energy   -3.02 eV/atom
Theoretical density   3.4 g/cm³
Size of the total moment   3.0 μB/f.u.
Space group   C2, No. 5
ΔE_f (raw)   -750 meV/atom

=====

Here is a relaxed structure of Nd3Dy3Au4 from Alexandria. Energies are from GGA-PBE.

Structure (POSCAR):
```
Nd3Dy3Au4
1.0
3.888 0.000 0.000
0.000 5.922 5.807
0.000 -5.922 5.807
Nd Dy Au
3 3 4
Cartesian
0.000 0.000 0.000
0.000 -1.964 7.638
0.000 1.964 7.638
0.000 0.000 3.828
1.944 -2.969 4.745
1.944 2.969 4.745
1.944 -1.527 1.962
1.944 1.527 1.962
1.944 0.000 6.097
1.944 0.000 9.189
```

Final energy   -4.78 eV/atom
Theoretical density   10.6 g/cm³
Size of the total moment   0.0 μB/f.u.
Space group   Amm2, No. 38
Density of states at the Fermi level   10.58 states/eV per cell
Energy of formation   -64 kJ/mol of atoms

=====

Here is a relaxed structure of Y6InRu5 from Alexandria. Energies are from GGA-PBE.

Structure (POSCAR):
```
Y6InRu5
1.0
2.442 -7.323 0.000
2.442 7.323 0.000
0.000 0.000 6.993
Y In Ru
6 1 5
Cartesian
0.000 0.000 1.623
0.000 0.000 5.370
2.442 2.537 1.708
2.442 2.537 5.285
2.442 -2.537 1.708
2.442 -2.537 5.285
2.442 0.000 3.496
2.442 4.947 3.496
2.442 4.884 0.000
2.442 0.000 0.000
2.442 -4.884 0.000
2.442 -4.947 3.496
```

Final energy   -7.66 eV/atom
Theoretical density   7.7 g/cm³
Size of the total moment   0.0 μB/f.u.
Space group   Cmmm, No. 65
Density of states at the Fermi level   5.15 states/eV per cell
Energy of formation   -32 kJ/mol of atoms

=====

Here is a relaxed structure of Ni2Sb from Alexandria. Energies are from GGA-PBE.

Structure (POSCAR):
```
Ni2Sb
1.0
-1.657 1.699 3.828
1.657 -1.699 3.828
1.657 1.699 -3.828
Ni Sb
2 1
Cartesian
0.000 0.000 1.297
0.000 0.000 6.359
0.000 0.000 3.828
```

Final energy   -5.31 eV/atom
Theoretical density   9.2 g/cm³
Size of the total moment   0.0 μB/f.u.
Space group   Immm, No. 71
Density of states at the Fermi level   1.25 states/eV per cell
ΔE_f (raw)   -80 meV/atom

=====

Here is a relaxed structure of Ba2ZnHgPt from Alexandria. Energies are from GGA-PBE.

Structure (POSCAR):
```
Ba2ZnHgPt
1.0
6.303 0.000 0.000
0.000 6.303 0.000
0.000 0.000 4.863
Ba Zn Hg Pt
2 1 1 1
Cartesian
0.000 3.152 0.000
3.152 0.000 0.000
0.000 0.000 2.432
0.000 0.000 0.000
3.152 3.152 2.432
```

Final energy   -2.22 eV/atom
Theoretical density   6.3 g/cm³
Size of the total moment   0.0 μB/f.u.
Energy relative to the lowest polymorph listed for this composition   0.605 eV/atom
Space group   P4/mmm, No. 123
Density of states at the Fermi level   3.68 states/eV per cell
Energy of formation   7 kJ/mol of atoms

=====

Here is a relaxed structure of Te2Se from Alexandria. Energies are from GGA-PBE.

Structure (POSCAR):
```
Te2Se
1.0
5.507 -2.130 0.000
5.507 2.130 0.000
-1.736 0.000 8.139
Te Se
4 2
Cartesian
0.000 0.000 0.000
0.289 0.000 2.864
3.330 0.000 5.520
8.116 0.000 0.111
2.938 0.000 2.819
6.040 0.000 5.588
```

Final energy   -3.12 eV/atom
Theoretical density   5.8 g/cm³
Size of the total moment   0.0 μB/f.u.
Energy relative to the lowest polymorph listed for this composition   0.090 eV/atom
Space group   Cm, No. 8
Density of states at the Fermi level   1.42 states/eV per cell
ΔE_f (raw)   131 meV/atom

=====

Here is a relaxed structure of AcMg2Pd2 from Alexandria. Energies are from GGA-PBE.

Structure (POSCAR):
```
AcMg2Pd2
1.0
-2.125 2.125 6.289
2.125 -2.125 6.289
2.125 2.125 -6.289
Ac Mg Pd
1 2 2
Cartesian
0.000 0.000 0.000
2.125 0.000 3.145
0.000 2.125 3.145
0.000 0.000 4.883
0.000 0.000 7.695
```

Final energy   -4.22 eV/atom
Theoretical density   7.1 g/cm³
Size of the total moment   0.0 μB/f.u.
Space group   I4/mmm, No. 139
Density of states at the Fermi level   1.69 states/eV per cell
Energy of formation   -66 kJ/mol of atoms

=====

Here is a relaxed structure of AcMg2SiNi2 from Alexandria. Energies are from GGA-PBE.

Structure (POSCAR):
```
AcMg2SiNi2
1.0
4.418 0.000 0.000
0.000 4.418 0.000
0.000 0.000 6.312
Ac Mg Si Ni
1 2 1 2
Cartesian
0.000 0.000 0.000
2.209 2.209 1.660
2.209 2.209 4.652
0.000 0.000 3.156
0.000 2.209 3.156
2.209 0.000 3.156
```

Final energy   -4.33 eV/atom
Theoretical density   5.7 g/cm³
Size of the total moment   0.0 μB/f.u.
Space group   P4/mmm, No. 123
Density of states at the Fermi level   4.54 states/eV per cell
ΔE_f (raw)   -286 meV/atom

=====

Here is a relaxed structure of SrAl3Au from Alexandria. Energies are from GGA-PBE.

Structure (POSCAR):
```
SrAl3Au
1.0
5.880 0.000 0.000
0.000 5.880 0.000
0.000 0.000 5.880
Sr Al Au
1 3 1
Cartesian
0.000 0.000 0.000
0.000 0.000 2.940
0.000 2.940 0.000
2.940 0.000 0.000
2.940 2.940 2.940
```

Final energy   -1.71 eV/atom
Theoretical density   3.0 g/cm³
Size of the total moment   0.0 μB/f.u.
Space group   Pm-3m, No. 221
Density of states at the Fermi level   7.40 states/eV per cell
Energy of formation   147 kJ/mol of atoms

=====

Here is a relaxed structure of Pu2Ga2Co15 from Alexandria. Energies are from GGA-PBE.

Structure (POSCAR):
```
Pu2Ga2Co15
1.0
4.166 2.406 4.065
-4.166 2.406 4.065
0.000 -4.811 4.065
Pu Ga Co
2 2 15
Cartesian
0.000 0.000 1.805
0.000 0.000 10.389
0.000 0.000 4.803
0.000 0.000 7.391
-2.083 -1.203 4.065
0.000 -2.431 3.841
-2.105 1.215 3.841
-1.220 -2.113 6.097
-2.440 0.000 6.097
-2.105 -1.215 8.352
-2.083 1.203 8.129
1.220 -2.113 6.097
0.000 2.406 4.065
-1.220 2.113 6.097
2.105 1.215 3.841
2.440 0.000 6.097
1.220 2.113 6.097
2.105 -1.215 8.352
0.000 2.431 8.352
```

Final energy   -7.52 eV/atom
Theoretical density   10.3 g/cm³
Size of the total moment   10.6 μB/f.u.
Space group   R-3m, No. 166
Density of states at the Fermi level   30.88 states/eV per cell
Energy of formation   -8 kJ/mol of atoms

=====

Here is a relaxed structure of AsSN2F from Alexandria. Energies are from GGA-PBE.

Structure (POSCAR):
```
AsSN2F
1.0
3.598 0.000 0.000
0.000 3.598 0.000
0.000 0.000 5.279
As S N F
1 1 2 1
Cartesian
0.000 0.000 0.000
0.000 0.000 2.640
0.000 1.799 0.000
1.799 0.000 0.000
1.799 1.799 2.640
```

Final energy   -4.12 eV/atom
Theoretical density   3.7 g/cm³
Size of the total moment   0.7 μB/f.u.
Energy relative to the lowest polymorph listed for this composition   0.240 eV/atom
Space group   P4/mmm, No. 123
Density of states at the Fermi level   3.73 states/eV per cell
ΔE_f (raw)   1337 meV/atom

=====

Here is a relaxed structure of CsP2SN from Alexandria. Energies are from GGA-PBE.

Structure (POSCAR):
```
CsP2SN
1.0
4.445 0.000 0.000
0.000 4.445 0.000
0.000 0.000 4.859
Cs P S N
1 2 1 1
Cartesian
0.000 0.000 0.000
0.000 2.223 2.429
2.223 0.000 2.429
2.223 2.223 0.000
2.223 2.223 2.429
```

Final energy   -3.70 eV/atom
Theoretical density   4.2 g/cm³
Size of the total moment   0.0 μB/f.u.
Energy relative to the lowest polymorph listed for this composition   0.000 eV/atom
Space group   P4/mmm, No. 123
Density of states at the Fermi level   3.98 states/eV per cell
ΔE_f (raw)   1129 meV/atom

=====

Here is a relaxed structure of YErPd from Alexandria. Energies are from GGA-PBE.

Structure (POSCAR):
```
YErPd
1.0
6.357 -1.767 0.000
6.357 1.767 0.000
-1.967 0.000 6.795
Y Er Pd
2 2 2
Cartesian
1.611 0.000 0.465
9.135 0.000 6.330
0.638 0.000 3.868
10.108 0.000 2.927
5.833 0.000 1.783
4.913 0.000 5.012
```

Final energy   -5.97 eV/atom
Theoretical density   7.9 g/cm³
Size of the total moment   0.0 μB/f.u.
Energy relative to the lowest polymorph listed for this composition   0.000 eV/atom
Space group   C2/m, No. 12
Density of states at the Fermi level   4.97 states/eV per cell
Energy of formation   -54 kJ/mol of atoms

=====

Here is a relaxed structure of NbNiAg3 from Alexandria. Energies are from GGA-PBE.

Structure (POSCAR):
```
NbNiAg3
1.0
5.116 0.000 0.000
0.000 5.116 0.000
0.000 0.000 5.116
Nb Ni Ag
1 1 3
Cartesian
0.000 0.000 0.000
2.558 2.558 2.558
0.000 0.000 2.558
0.000 2.558 0.000
2.558 0.000 0.000
```

Final energy   -3.00 eV/atom
Theoretical density   5.9 g/cm³
Size of the total moment   0.9 μB/f.u.
Energy relative to the lowest polymorph listed for this composition   0.767 eV/atom
Space group   Pm-3m, No. 221
Density of states at the Fermi level   9.44 states/eV per cell
Energy of formation   182 kJ/mol of atoms

=====

Here is a relaxed structure of CrBSe2Br from Alexandria. Energies are from GGA-PBE.

Structure (POSCAR):
```
CrBSe2Br
1.0
4.770 0.000 0.000
0.000 4.770 0.000
0.000 0.000 5.240
Cr B Se Br
1 1 2 1
Cartesian
0.000 0.000 0.000
2.385 2.385 2.620
0.000 2.385 0.000
2.385 0.000 0.000
0.000 0.000 2.620
```

Final energy   -4.10 eV/atom
Theoretical density   4.2 g/cm³
Size of the total moment   2.5 μB/f.u.
Energy relative to the lowest polymorph listed for this composition   0.000 eV/atom
Space group   P4/mmm, No. 123
Density of states at the Fermi level   4.03 states/eV per cell
ΔE_f (raw)   893 meV/atom

=====

Here is a relaxed structure of La4CoI3 from Alexandria. Energies are from GGA-PBE.

Structure (POSCAR):
```
La4CoI3
1.0
8.380 0.000 0.000
0.000 9.102 0.000
-2.288 0.000 7.127
La Co I
8 2 6
Cartesian
1.474 0.942 0.303
0.330 8.159 3.867
0.642 3.243 3.281
-0.502 5.858 6.845
6.594 3.243 0.283
5.450 5.858 3.846
5.762 0.942 3.260
4.618 8.159 6.824
-0.572 1.068 1.782
-1.716 8.033 5.346
-1.716 3.258 5.346
-0.572 5.844 1.782
2.474 1.248 5.346
3.618 3.432 1.782
2.474 5.670 5.346
3.618 7.854 1.782
```

Final energy   -4.77 eV/atom
Theoretical density   6.1 g/cm³
Size of the total moment   0.0 μB/f.u.
Space group   P2/c, No. 13
Density of states at the Fermi level   6.34 states/eV per cell
ΔE_f (raw)   -839 meV/atom

=====

Here is a relaxed structure of FeNiHg2 from Alexandria. Energies are from GGA-PBE.

Structure (POSCAR):
```
FeNiHg2
1.0
2.988 0.000 0.000
0.000 2.988 0.000
0.000 0.000 7.302
Fe Ni Hg
1 1 2
Cartesian
0.000 0.000 0.000
0.000 0.000 3.651
1.494 1.494 1.892
1.494 1.494 5.410
```

Final energy   -3.34 eV/atom
Theoretical density   13.1 g/cm³
Size of the total moment   2.4 μB/f.u.
Energy relative to the lowest polymorph listed for this composition   0.115 eV/atom
Space group   P4/mmm, No. 123
Density of states at the Fermi level   2.92 states/eV per cell
Energy of formation   35 kJ/mol of atoms

=====

Here is a relaxed structure of Pm14NdIn from Alexandria. Energies are from GGA-PBE.

Structure (POSCAR):
```
Pm14NdIn
1.0
10.236 0.000 0.000
0.000 5.109 5.108
0.000 -5.109 5.108
Pm Nd In
14 1 1
Cartesian
0.000 0.000 0.000
0.000 2.554 7.662
0.000 -2.554 7.662
0.000 0.000 5.106
2.600 0.000 2.526
2.601 -2.582 5.107
2.601 2.582 5.107
2.601 0.000 7.688
5.118 -2.551 2.551
5.118 2.551 2.551
7.636 0.000 2.526
7.635 -2.582 5.107
7.635 2.582 5.107
7.635 0.000 7.688
5.118 0.000 5.109
5.118 0.000 10.212
```

Final energy   -4.66 eV/atom
Theoretical density   7.1 g/cm³
Size of the total moment   0.0 μB/f.u.
Space group   Amm2, No. 38
Density of states at the Fermi level   20.76 states/eV per cell
Energy of formation   -3 kJ/mol of atoms

=====

Here is a relaxed structure of RbPaBO5 from Alexandria. Energies are from GGA-PBE.

Structure (POSCAR):
```
RbPaBO5
1.0
3.568 -4.712 0.000
3.568 4.712 0.000
-3.538 0.000 7.255
Rb Pa B O
2 2 2 10
Cartesian
0.914 3.872 5.441
2.683 -3.872 1.814
1.784 2.356 0.000
0.015 -2.356 3.627
0.914 0.536 5.441
2.683 -0.536 1.814
2.683 2.930 1.814
1.848 0.343 0.916
0.051 1.409 6.284
0.079 -0.343 4.543
1.778 1.409 4.598
1.820 -1.409 2.656
3.519 0.343 2.712
3.546 -1.409 0.971
1.750 -0.343 6.339
0.914 -2.930 5.441
```

Final energy   -7.70 eV/atom
Theoretical density   5.5 g/cm³
Size of the total moment   1.0 μB/f.u.
Space group   C2/c, No. 15
Density of states at the Fermi level   7.44 states/eV per cell
ΔE_f (raw)   -2463 meV/atom